The following is a DFT calculation (GGA-PBEsol) of a geometry-optimized MgTl2In structure.

a b c (Å): 5.8491 5.8491 5.8491
angles (deg): 134.05 134.05 67.02
Closest atoms and distances in Å follow each position.
Fractional positions:
Mg1 0.0000 0.0000 0.0000  8 Tl 3.23-3.34, 4 In 3.34
Tl1 0.5000 0.5000 0.0000  4 Mg 3.23, 4 Tl 3.34, 4 In 3.34
Tl2 0.7500 0.2500 0.5000  4 In 3.23, 4 Tl 3.34, 4 Mg 3.34
In1 0.2500 0.7500 0.5000  8 Tl 3.23-3.34, 4 Mg 3.34

As for the symmetry: No. 119. As for the calculated volume: 25.4 Å³ per atom. Its formation energy is -21 meV per atom. The value obtained for the density of states at the Fermi level is 1.84 states/eV/f.u. The value obtained for the total magnetization is 0.00 μB/atom.


The following is a DFT calculation (GGA-PBEsol) of a geometry-optimized Li2P2WO8 structure.

a b c (Å): 4.8866 4.8866 7.2639
angles (deg): 90.00 90.00 120.00
Closest atoms and distances in Å follow each position.
Fractional positions:
Li1 0.3333 0.6667 0.1971  1 O 1.82
Li2 0.6667 0.3333 0.8029  1 O 1.82
P1 0.3333 0.6667 0.7435  4 O 1.48-1.57
P2 0.6667 0.3333 0.2565  4 O 1.48-1.57
W1 0.0000 0.0000 0.5000  6 O 2.03
O1 0.0446 0.3562 0.6649  1 P 1.57
O2 0.3117 0.9554 0.6649  1 P 1.57
O3 0.3333 0.6667 0.9471  1 P 1.48
O4 0.3562 0.3117 0.3351  1 P 1.57
O5 0.6438 0.6883 0.6649  1 P 1.57
O6 0.6667 0.3333 0.0529  1 P 1.48
O7 0.6883 0.0446 0.3351  1 P 1.57
O8 0.9554 0.6438 0.3351  1 P 1.57

As for the symmetry: No. 147. The energy above the most stable polymorph in this dataset comes out at 27 meV/atom. As for the calculated volume: 11.6 Å³ per atom. The value obtained for the density of states at the Fermi level is 2.65 states/eV/f.u. The value obtained for the total magnetization is 0.15 μB/atom. Its energy relative to the elements, uncorrected is -2.11 eV per atom.


The following is a DFT calculation (GGA-PBEsol) of a geometry-optimized CaAuSe2 structure.

a b c (Å): 3.9178 3.6978 6.6565
angles (deg): 90.00 97.45 90.00
Closest atoms and distances in Å follow each position.
Fractional positions:
Ca1 0.0000 0.0000 0.0000  8 Se 3.03-3.18
Au1 0.5000 0.0000 0.5000  4 Se 2.57
Se1 0.4774 0.5000 0.7667  2 Au 2.57
Se2 0.5226 0.5000 0.2333  2 Au 2.57

As for the symmetry: No. 10. The energy above the most stable polymorph in this dataset comes out at 77 meV/atom. As for the calculated volume: 23.9 Å³ per atom. The value obtained for the density of states at the Fermi level is 1.15 states/eV/f.u. The value obtained for the total magnetization is 0.00 μB/atom. Its energy relative to the elements, uncorrected is -0.83 eV per atom.